Entry 1:
{"formula": "Zr5ZnSn3", "functional": "meta-GGA SCAN", "state": "single point on PBEsol structure", "m_tot_mub_per_fu": 0.000, "e_tot_ev_per_atom": -31.231, "ef_ev_per_atom": -0.701, "lattice_angstrom": [[5.8183, 0.0000, 0.0000], [0.0000, 8.5807, 0.0000], [0.0000, -4.2903, 7.4311]], "species": ["Zr", "Zr", "Zr", "Zr", "Zr", "Zr", "Zr", "Zr", "Zr", "Zr", "Zn", "Zn", "Sn", "Sn", "Sn", "Sn", "Sn", "Sn"], "frac_coords": [[0.7500, 0.7323, 0.0000], [0.2500, 0.7323, 0.7323], [0.5000, 0.6667, 0.3333], [0.2500, 0.0000, 0.2677], [0.5000, 0.3333, 0.6667], [0.2500, 0.2677, 0.0000], [0.0000, 0.3333, 0.6667], [0.7500, 0.2677, 0.2677], [0.0000, 0.6667, 0.3333], [0.7500, 0.0000, 0.7323], [0.0000, 0.0000, 0.0000], [0.5000, 0.0000, 0.0000], [0.2500, 0.3843, 0.3843], [0.2500, 0.6157, 0.0000], [0.7500, 0.6157, 0.6157], [0.7500, 0.3843, 0.0000], [0.7500, 0.0000, 0.3843], [0.2500, 0.0000, 0.6157]]}



Entry 2:
{"formula": "ZrBeC3", "functional": "meta-GGA SCAN", "state": "single point on PBEsol structure", "m_tot_mub_per_fu": 0.000, "e_tot_ev_per_atom": -10.472, "ef_ev_per_atom": 2.599, "lattice_angstrom": [[4.2257, 0.0000, 0.0000], [0.0000, 4.2257, 0.0000], [0.0000, 0.0000, 4.2257]], "species": ["C", "C", "C", "Zr", "Be"], "frac_coords": [[0.5000, 0.0000, 0.0000], [0.0000, 0.0000, 0.5000], [0.0000, 0.5000, 0.0000], [0.0000, 0.0000, 0.0000], [0.5000, 0.5000, 0.5000]]}



Entry 3:
{"formula": "FeAg2SbCl", "functional": "meta-GGA SCAN", "state": "single point on PBEsol structure", "raw_formation_energy_mev_per_atom": 409.9, "m_tot_mub_per_fu": 4.001, "e_tot_ev_per_atom": -24.811, "lattice_angstrom": [[-1.0690, 1.6920, 4.5473], [-4.8143, -1.7543, -0.4790], [1.4426, -4.5095, 2.0171]], "species": ["Cl", "Fe", "Ag", "Ag", "Sb"], "frac_coords": [[0.5000, 0.5000, 0.5000], [0.5000, 0.0000, 0.0000], [0.0000, 0.0000, 0.5000], [0.0000, 0.5000, 0.0000], [0.0000, 0.0000, 0.0000]]}



Entry 4:
{"formula": "NiOsRh2", "functional": "meta-GGA SCAN", "state": "single point on PBEsol structure", "m_tot_mub_per_fu": 0.002, "relative_energy_mev_per_atom": 0, "e_tot_ev_per_atom": -38.851, "ef_ev_per_atom": 0.048, "lattice_angstrom": [[-1.1699, 1.1695, -2.0859], [-1.4332, -3.2653, -1.0269], [-4.2367, 0.9456, 2.9064]], "species": ["Rh", "Rh", "Os", "Ni"], "frac_coords": [[0.0000, 0.0000, 0.2466], [0.0000, 0.0000, 0.7534], [0.5000, 0.5000, 0.5000], [0.5000, 0.5000, 0.0000]]}



Entry 5:
{"formula": "SmGeAu", "functional": "meta-GGA SCAN", "state": "single point on PBEsol structure", "m_tot_mub_per_fu": 0.000, "e_tot_ev_per_atom": -45.295, "ef_ev_per_atom": -1.066, "lattice_angstrom": [[-2.5225, 0.5081, 3.6182], [3.6760, -2.4828, 0.1874], [3.9431, 5.9821, 1.9090]], "species": ["Sm", "Sm", "Au", "Au", "Ge", "Ge"], "frac_coords": [[0.0000, 0.0000, 0.4972], [0.0000, 0.0000, 0.9972], [0.3333, 0.6667, 0.7170], [0.6667, 0.3333, 0.2170], [0.3333, 0.6667, 0.2851], [0.6667, 0.3333, 0.7851]]}



Entry 6:
{"formula": "HfAu2", "functional": "meta-GGA SCAN", "state": "single point on PBEsol structure", "m_tot_mub_per_fu": 0.031, "e_tot_ev_per_atom": -67.759, "ef_ev_per_atom": -0.763, "lattice_angstrom": [[-1.1338, 2.5999, -2.0812], [0.5268, -2.0309, -2.8240], [-3.7355, -1.7851, 2.7784]], "species": ["Hf", "Au", "Au"], "frac_coords": [[0.0000, 0.0000, 0.0000], [0.3324, 0.3324, 0.6647], [0.6676, 0.6676, 0.3353]]}



Entry 7:
{"formula": "ReIrW2", "functional": "meta-GGA SCAN", "state": "single point on PBEsol structure", "m_tot_mub_per_fu": 0.000, "e_tot_ev_per_atom": -70.342, "ef_ev_per_atom": 0.052, "lattice_angstrom": [[2.7271, 0.0000, 0.0000], [0.0000, 3.9334, 0.0000], [0.0000, 0.0000, 5.6148]], "species": ["W", "W", "Re", "Ir"], "frac_coords": [[0.0000, 0.0000, 0.9920], [0.5000, 0.5000, 0.2616], [0.5000, 0.5000, 0.7470], [0.0000, 0.0000, 0.4994]]}



Entry 8:
{"formula": "Ta2CuTe", "functional": "meta-GGA SCAN", "state": "single point on PBEsol structure", "raw_formation_energy_mev_per_atom": 563.9, "m_tot_mub_per_fu": 0.000, "e_tot_ev_per_atom": -45.840, "lattice_angstrom": [[-1.6018, 1.2906, -4.1383], [-4.5544, 0.2986, -0.7244], [-1.9907, 4.1381, -0.5193]], "species": ["Cu", "Ta", "Ta", "Te"], "frac_coords": [[0.5000, 0.5000, 0.5000], [0.0000, 0.0000, 0.0000], [0.7500, 0.7500, 0.7500], [0.2500, 0.2500, 0.2500]]}



Entry 9:
{"formula": "BaIr2Br", "functional": "meta-GGA SCAN", "state": "single point on PBEsol structure", "raw_formation_energy_mev_per_atom": 612.4, "m_tot_mub_per_fu": 0.004, "relative_energy_mev_per_atom": 756, "e_tot_ev_per_atom": -49.690, "lattice_angstrom": [[-1.4563, 3.1189, -1.9989], [-2.5163, 0.7434, 2.9932], [4.0581, 3.5207, 2.5370]], "species": ["Br", "Ir", "Ir", "Ba"], "frac_coords": [[0.0000, 0.0000, 0.5000], [0.0000, 0.5000, 0.0000], [0.5000, 0.0000, 0.0000], [0.5000, 0.5000, 0.5000]]}



Entry 10:
{"formula": "Mn2IrCl", "functional": "meta-GGA SCAN", "state": "single point on PBEsol structure", "raw_formation_energy_mev_per_atom": 37.1, "m_tot_mub_per_fu": 7.953, "relative_energy_mev_per_atom": 208, "e_tot_ev_per_atom": -28.860, "lattice_angstrom": [[2.7198, 0.0000, 0.0000], [1.3599, 2.3554, 0.0000], [1.3599, 0.7851, 7.8056]], "species": ["Cl", "Ir", "Mn", "Mn"], "frac_coords": [[0.5000, 0.5000, 0.5000], [0.0000, 0.0000, 0.0000], [0.2458, 0.2458, 0.2627], [0.7542, 0.7542, 0.7373]]}



Entry 11:
{"formula": "LaTl2HgSb", "functional": "meta-GGA SCAN", "state": "single point on PBEsol structure", "raw_formation_energy_mev_per_atom": 76.4, "m_tot_mub_per_fu": 0.000, "e_tot_ev_per_atom": -58.573, "lattice_angstrom": [[5.4197, 0.0000, 0.0000], [0.0000, 5.4197, 0.0000], [0.0000, 0.0000, 5.6159]], "species": ["La", "Tl", "Tl", "Sb", "Hg"], "frac_coords": [[0.5000, 0.5000, 0.5000], [0.5000, 0.0000, 0.0000], [0.0000, 0.5000, 0.0000], [0.0000, 0.0000, 0.5000], [0.0000, 0.0000, 0.0000]]}



Entry 12:
{"formula": "LiRe2Ir2", "functional": "meta-GGA SCAN", "state": "single point on PBEsol structure", "m_tot_mub_per_fu": 0.000, "e_tot_ev_per_atom": -57.122, "ef_ev_per_atom": 0.234, "lattice_angstrom": [[-1.9847, 1.5670, -2.9807], [-0.7269, -3.5777, -1.3968], [-3.3420, 0.7840, 5.2006]], "species": ["Ir", "Ir", "Re", "Re", "Li"], "frac_coords": [[0.6063, 0.6063, 0.2125], [0.3937, 0.3937, 0.7875], [0.7500, 0.2500, 0.5000], [0.2500, 0.7500, 0.5000], [0.0000, 0.0000, 0.0000]]}



Entry 13:
{"formula": "Th2Pd", "functional": "meta-GGA SCAN", "state": "single point on PBEsol structure", "m_tot_mub_per_fu": 0.000, "e_tot_ev_per_atom": -75.404, "ef_ev_per_atom": -0.533, "lattice_angstrom": [[-5.2773, 0.7810, 2.3067], [-3.8412, -4.4739, 0.0492], [-0.8564, -1.0893, 5.7317]], "species": ["Th", "Th", "Th", "Th", "Pd", "Pd"], "frac_coords": [[0.3386, 0.8229, 0.5000], [0.6614, 0.1771, 0.5000], [0.1614, 0.5000, 0.1771], [0.8386, 0.5000, 0.8229], [0.2500, 0.0000, 0.0000], [0.7500, 0.0000, 0.0000]]}



Entry 14:
{"formula": "TcP2Os", "functional": "meta-GGA SCAN", "state": "single point on PBEsol structure", "m_tot_mub_per_fu": 0.000, "relative_energy_mev_per_atom": 0, "e_tot_ev_per_atom": -32.031, "ef_ev_per_atom": -0.097, "lattice_angstrom": [[2.8673, 0.0000, 0.0000], [-1.4336, 3.7364, 0.0164], [0.0000, -1.0974, 4.8372]], "species": ["P", "P", "Os", "Tc"], "frac_coords": [[0.2509, 0.5018, 0.2533], [0.7491, 0.4982, 0.7467], [0.5000, 0.0000, 0.0000], [0.0000, 0.0000, 0.5000]]}



Entry 15:
{"formula": "Np3Te4", "functional": "meta-GGA SCAN", "state": "single point on PBEsol structure", "raw_formation_energy_mev_per_atom": -538.8, "m_tot_mub_per_fu": 13.000, "e_tot_ev_per_atom": -67.686, "lattice_angstrom": [[7.8766, 0.0000, 0.0000], [-2.6255, 7.4261, 0.0000], [-2.6255, -3.7131, 6.4312]], "species": ["Te", "Te", "Te", "Te", "Te", "Te", "Te", "Te", "Np", "Np", "Np", "Np", "Np", "Np"], "frac_coords": [[0.5000, 0.3466, 0.5000], [0.5000, 0.8466, 0.5000], [0.6534, 0.6534, 0.1534], [0.0000, 0.5000, 0.8466], [0.0000, 0.5000, 0.3466], [0.8466, 0.0000, 0.0000], [0.3466, 0.0000, 0.0000], [0.1534, 0.1534, 0.6534], [0.2500, 0.3750, 0.1250], [0.1250, 0.8750, 0.2500], [0.3750, 0.6250, 0.7500], [0.6250, 0.2500, 0.8750], [0.8750, 0.7500, 0.6250], [0.7500, 0.1250, 0.3750]]}



Entry 16:
{"formula": "Si2Ge2F", "functional": "meta-GGA SCAN", "state": "single point on PBEsol structure", "raw_formation_energy_mev_per_atom": -170.5, "m_tot_mub_per_fu": 0.000, "e_tot_ev_per_atom": -12.520, "lattice_angstrom": [[-4.1550, -0.8784, -0.9511], [0.1203, -3.4452, 2.6564], [0.6560, 4.8124, 2.6466]], "species": ["F", "Si", "Si", "Ge", "Ge"], "frac_coords": [[0.0000, 0.0000, 0.0000], [0.3773, 0.3773, 0.7546], [0.6227, 0.6227, 0.2454], [0.7500, 0.2500, 0.5000], [0.2500, 0.7500, 0.5000]]}



Entry 17:
{"formula": "MgAu2Br", "functional": "meta-GGA SCAN", "state": "single point on PBEsol structure", "raw_formation_energy_mev_per_atom": -338.7, "m_tot_mub_per_fu": 0.000, "relative_energy_mev_per_atom": 0, "e_tot_ev_per_atom": -41.025, "lattice_angstrom": [[-1.5652, -0.9822, -2.7247], [2.9628, -3.1604, -0.5627], [-3.7819, -1.3542, 4.6496]], "species": ["Mg", "Au", "Au", "Br"], "frac_coords": [[0.0000, 0.5000, 0.0000], [0.7298, 0.7298, 0.4596], [0.2702, 0.2702, 0.5404], [0.5000, 0.0000, 0.0000]]}



Entry 18:
{"formula": "Li2PIr", "functional": "meta-GGA SCAN", "state": "single point on PBEsol structure", "m_tot_mub_per_fu": 0.000, "e_tot_ev_per_atom": -21.731, "ef_ev_per_atom": -0.162, "lattice_angstrom": [[4.4296, 0.0000, 0.0000], [2.2148, 5.1118, 0.0000], [2.2148, 0.0000, 5.1118]], "species": ["Li", "Li", "Li", "Li", "Ir", "Ir", "P", "P"], "frac_coords": [[0.3750, 0.0269, 0.4731], [0.1519, 0.4731, 0.9731], [0.5981, 0.5269, 0.0269], [0.8750, 0.9731, 0.5269], [0.0000, 0.0000, 0.0000], [0.7500, 0.5000, 0.5000], [0.5000, 0.0000, 0.0000], [0.2500, 0.5000, 0.5000]]}



Entry 19:
{"formula": "ZrCdMo2", "functional": "meta-GGA SCAN", "state": "single point on PBEsol structure", "m_tot_mub_per_fu": 0.000, "e_tot_ev_per_atom": -32.551, "ef_ev_per_atom": 0.169, "lattice_angstrom": [[-2.3737, -0.5039, -2.4044], [3.1531, -2.1645, -2.6592], [-1.4756, -2.5698, 4.4219]], "species": ["Mo", "Mo", "Zr", "Cd"], "frac_coords": [[0.7329, 0.2329, 0.4659], [0.0256, 0.0256, 0.0513], [0.4830, 0.4830, 0.9661], [0.2584, 0.7584, 0.5168]]}



Entry 20:
{"formula": "K2ScCu", "functional": "meta-GGA SCAN", "state": "single point on PBEsol structure", "m_tot_mub_per_fu": 1.814, "relative_energy_mev_per_atom": 268, "e_tot_ev_per_atom": -10.544, "ef_ev_per_atom": 0.980, "lattice_angstrom": [[-3.4821, 1.5805, -4.2686], [-1.8061, -3.8808, -3.8107], [-5.4788, -1.6814, -0.0004]], "species": ["K", "K", "Sc", "Cu"], "frac_coords": [[0.2500, 0.2500, 0.2500], [0.7500, 0.7500, 0.7500], [0.5000, 0.5000, 0.5000], [0.0000, 0.0000, 0.0000]]}